# NbGa2SiO

NbGa2SiO after structural relaxation (PBE, Alexandria).

Output
The calculation puts the formation energy from raw total energies at -0.093 eV/atom. The calculation puts the density at 5.711 g/cm3.

Cell and atoms, written as CIF:
```
data_NbGa2SiO
_chemical_formula_sum 'Nb1 Ga2 Si1 O1'
_space_group_name_H-M_alt 'P 4/m m m'
_space_group_IT_number 123
_space_group_name_Hall '-P 4 2'
_cell_length_a 4.406
_cell_length_b 4.406
_cell_length_c 4.140
_cell_angle_alpha 90.00
_cell_angle_beta 90.00
_cell_angle_gamma 90.00
loop_
_atom_site_label
_atom_site_type_symbol
_atom_site_fract_x
_atom_site_fract_y
_atom_site_fract_z
_atom_site_occupancy
Nb1 Nb 0.000 0.000 0.000 1
Ga1 Ga 0.000 0.500 0.500 1
Si1 Si 0.500 0.500 0.000 1
O1 O 0.000 0.000 0.500 1
```



# RbCaTl4

RbCaTl4 after structural relaxation (PBE, Alexandria).

Output
For the energy above the most stable polymorph in this dataset, the calculation gives 66 meV per atom. The calculation puts the density at 7.802 g/cm3.

Cell and atoms, written as CIF:
```
data_RbCaTl4
_chemical_formula_sum 'Rb4 Ca4 Tl16'
_space_group_name_H-M_alt 'F -4 3 m'
_space_group_IT_number 216
_space_group_name_Hall 'F -4 2 3'
_cell_length_a 9.294
_cell_length_b 9.294
_cell_length_c 9.294
_cell_angle_alpha 90.00
_cell_angle_beta 90.00
_cell_angle_gamma 90.00
loop_
_atom_site_label
_atom_site_type_symbol
_atom_site_fract_x
_atom_site_fract_y
_atom_site_fract_z
_atom_site_occupancy
Rb1 Rb 0.000 0.000 0.000 1
Ca1 Ca 0.250 0.250 0.250 1
Tl1 Tl 0.124 0.124 0.624 1
```



# SrNdEuTl

SrNdEuTl after structural relaxation (PBE, Alexandria).

Output
The calculated total energy is -0.3547 Ry per atom. The calculation puts the density at 6.972 g/cm3.

Cell and atoms, written as CIF:
```
data_SrNdEuTl
_chemical_formula_sum 'Sr4 Nd4 Eu4 Tl4'
_space_group_name_H-M_alt 'F -4 3 m'
_space_group_IT_number 216
_space_group_name_Hall 'F -4 2 3'
_cell_length_a 8.245
_cell_length_b 8.245
_cell_length_c 8.245
_cell_angle_alpha 90.00
_cell_angle_beta 90.00
_cell_angle_gamma 90.00
loop_
_atom_site_label
_atom_site_type_symbol
_atom_site_fract_x
_atom_site_fract_y
_atom_site_fract_z
_atom_site_occupancy
Sr1 Sr 0.000 0.000 0.000 1
Nd1 Nd 0.000 0.000 0.500 1
Eu1 Eu 0.250 0.250 0.750 1
Tl1 Tl 0.250 0.250 0.250 1
```



# NaNbSe2Br

NaNbSe2Br after structural relaxation (PBE, Alexandria).

Output
For the energy above the most stable polymorph in this dataset, the calculation gives 1348 meV per atom. The calculation puts the formation energy from raw total energies at 0.679 eV/atom. The calculation puts the density at 4.542 g/cm3.

Cell and atoms, written as CIF:
```
data_NaNbSe2Br
_chemical_formula_sum 'Na1 Nb1 Se2 Br1'
_space_group_name_H-M_alt 'P 4/m m m'
_space_group_IT_number 123
_space_group_name_Hall '-P 4 2'
_cell_length_a 5.058
_cell_length_b 5.058
_cell_length_c 5.054
_cell_angle_alpha 90.00
_cell_angle_beta 90.00
_cell_angle_gamma 90.00
loop_
_atom_site_label
_atom_site_type_symbol
_atom_site_fract_x
_atom_site_fract_y
_atom_site_fract_z
_atom_site_occupancy
Na1 Na 0.000 0.000 0.000 1
Nb1 Nb 0.500 0.500 0.500 1
Se1 Se 0.000 0.500 0.000 1
Br1 Br 0.000 0.000 0.500 1
```



# Tb2PmHo3Tm6

Tb2PmHo3Tm6 after structural relaxation (PBE, Alexandria).

Output
The calculated total energy is -0.3326 Ry per atom. The calculation puts the density at 8.856 g/cm3.

Cell and atoms, written as CIF:
```
data_Tb2PmHo3Tm6
_chemical_formula_sum 'Tb4 Pm2 Ho6 Tm12'
_space_group_name_H-M_alt 'C 1 2/m 1'
_space_group_IT_number 12
_space_group_name_Hall '-C 2y'
_cell_length_a 6.105
_cell_length_b 10.561
_cell_length_c 11.643
_cell_angle_alpha 90.00
_cell_angle_beta 100.03
_cell_angle_gamma 90.00
loop_
_atom_site_label
_atom_site_type_symbol
_atom_site_fract_x
_atom_site_fract_y
_atom_site_fract_z
_atom_site_occupancy
Tb1 Tb 0.000 0.167 0.000 1
Pm1 Pm 0.000 0.500 0.000 1
Ho1 Ho 0.000 0.000 0.500 1
Ho2 Ho 0.000 0.333 0.500 1
Tm1 Tm 0.248 0.167 0.748 1
Tm2 Tm 0.249 0.500 0.748 1
```



# Cu2MoRh

Cu2MoRh after structural relaxation (PBE, Alexandria).

Output
The calculated total energy is -0.4706 Ry per atom. The calculation puts the density at 9.949 g/cm3.

Cell and atoms, written as CIF:
```
data_Cu2MoRh
_chemical_formula_sum 'Cu4 Mo2 Rh2'
_space_group_name_H-M_alt 'I 4/m m m'
_space_group_IT_number 139
_space_group_name_Hall '-I 4 2'
_cell_length_a 3.748
_cell_length_b 3.748
_cell_length_c 7.745
_cell_angle_alpha 90.00
_cell_angle_beta 90.00
_cell_angle_gamma 90.00
loop_
_atom_site_label
_atom_site_type_symbol
_atom_site_fract_x
_atom_site_fract_y
_atom_site_fract_z
_atom_site_occupancy
Cu1 Cu 0.000 0.500 0.250 1
Mo1 Mo 0.000 0.000 0.000 1
Rh1 Rh 0.000 0.000 0.500 1
```



# BaNaPmSn

BaNaPmSn after structural relaxation (PBE, Alexandria).

Output
The calculated total energy is -0.2406 Ry per atom. The calculation puts the density at 5.195 g/cm3.

Cell and atoms, written as CIF:
```
data_BaNaPmSn
_chemical_formula_sum 'Ba4 Na4 Pm4 Sn4'
_space_group_name_H-M_alt 'F -4 3 m'
_space_group_IT_number 216
_space_group_name_Hall 'F -4 2 3'
_cell_length_a 8.154
_cell_length_b 8.154
_cell_length_c 8.154
_cell_angle_alpha 90.00
_cell_angle_beta 90.00
_cell_angle_gamma 90.00
loop_
_atom_site_label
_atom_site_type_symbol
_atom_site_fract_x
_atom_site_fract_y
_atom_site_fract_z
_atom_site_occupancy
Ba1 Ba 0.000 0.000 0.000 1
Na1 Na 0.250 0.250 0.750 1
Pm1 Pm 0.000 0.000 0.500 1
Sn1 Sn 0.250 0.250 0.250 1
```



# HgPPd2

HgPPd2 after structural relaxation (PBE, Alexandria).

Output
For the energy above the most stable polymorph in this dataset, the calculation gives 5 meV per atom. The calculation puts the density at 10.955 g/cm3.

Cell and atoms, written as CIF:
```
data_HgPPd2
_chemical_formula_sum 'Hg3 P3 Pd6'
_space_group_name_H-M_alt 'R 3 m'
_space_group_IT_number 160
_space_group_name_Hall 'R 3 -2"'
_cell_length_a 3.1078
_cell_length_b 3.1078
_cell_length_c 24.1596
_cell_angle_alpha 90.00
_cell_angle_beta 90.00
_cell_angle_gamma 120.00
loop_
_atom_site_label
_atom_site_type_symbol
_atom_site_fract_x
_atom_site_fract_y
_atom_site_fract_z
_atom_site_occupancy
Hg1 Hg 0.0000 0.0000 0.0000 1
P1 P 0.0000 0.0000 0.1672 1
Pd1 Pd 0.0000 0.0000 0.5692 1
Pd2 Pd 0.0000 0.0000 0.7645 1
```



no.,magnetization (μB per atom)
1,0.160
2,0.000
3,1.848
4,0.315
5,0.000
6,0.000
7,0.000
8,0.000